## Pr4Y2ErSc (GGA-PBE)

Data for a relaxed Pr4Y2ErSc crystal.

Cell: 5.138 5.150 9.921 Å, 90.00 90.00 90.00°
Atoms (fractional coordinates):
Pr 0.000 0.000 0.245
Pr 0.000 0.000 0.755
Pr 0.500 0.500 0.246
Pr 0.500 0.500 0.754
Y 0.000 0.500 0.000
Y 0.500 0.000 0.500
Er 0.000 0.500 0.500
Sc 0.500 0.000 0.000

## Properties
Calculated volume (A^3/atom): 32.82
D(E_F) (states/eV per atom): 1.331
Total magnetization (μB per cell): 0.00
Energy of formation (eV/f.u.): 0.23
Crystal system: orthorhombic